# 1
The following is a DFT calculation (GGA-PBEsol) of crystalline ZnCrRu2 at its relaxed geometry.

Unit cell a=2.6509 b=2.6509 c=7.3336 alpha=90.00 beta=90.00 gamma=90.00
With the nearest neighbours (Å) after each atom.
Fractional coordinates of all 4 atoms:
Zn: 0.0000 0.0000 0.0000  4 Cr 2.63, 4 Zn 2.65, 4 Ru 2.66
Cr: 0.5000 0.5000 0.2521  4 Ru 2.56, 4 Zn 2.63, 4 Cr 2.65
Ru: 0.0000 0.0000 0.4907  4 Cr 2.56, 8 Ru 2.63-2.65
Ru: 0.5000 0.5000 0.7418  8 Ru 2.63-2.65, 4 Zn 2.66

Computed properties:
SG: P4mm
Density of states at the Fermi level (states/eV per cell): 4.740
Size of the total moment (μB/cell): 0.00
ΔH_f (0 K) (eV/atom): 0.1843


# 2
The following is a DFT calculation (GGA-PBEsol) of crystalline LiPb at its relaxed geometry.

Unit cell a=5.9769 b=5.9769 c=5.9769 alpha=144.29 beta=133.12 gamma=60.30
With the nearest neighbours (Å) after each atom.
Fractional coordinates of all 4 atoms:
Li: 0.3790 0.1290 0.2500  6 Pb 3.00-3.13, 2 Li 3.10
Li: 0.6210 0.8710 0.7500  6 Pb 3.00-3.13, 2 Li 3.10
Pb: 0.1332 0.3832 0.7500  6 Li 3.00-3.13, 2 Pb 3.31
Pb: 0.8668 0.6168 0.2500  6 Li 3.00-3.13, 2 Pb 3.31

Computed properties:
SG: Imma
Density of states at the Fermi level (states/eV per cell): 1.329
Size of the total moment (μB/cell): 0.00
ΔH_f (0 K) (eV/atom): -0.2455


# 3
The following is a DFT calculation (GGA-PBEsol) of crystalline ScTePd3 at its relaxed geometry.

Unit cell a=4.7189 b=4.7189 c=4.7189 alpha=90.00 beta=90.00 gamma=90.00
With the nearest neighbours (Å) after each atom.
Fractional coordinates of all 5 atoms:
Sc: 0.0000 0.0000 0.0000  6 Pd 2.36
Te: 0.5000 0.5000 0.5000  12 Pd 3.34
Pd: 0.0000 0.0000 0.5000  2 Sc 2.36
Pd: 0.0000 0.5000 0.0000  2 Sc 2.36
Pd: 0.5000 0.0000 0.0000  2 Sc 2.36

Computed properties:
SG: Pm-3m
Density of states at the Fermi level (states/eV per cell): 1.954
E (eV/atom): -5.280
Size of the total moment (μB/cell): 0.00


# 4
The following is a DFT calculation (GGA-PBEsol) of crystalline TaAs2PPt at its relaxed geometry.

Unit cell a=4.8398 b=4.8398 c=4.9317 alpha=90.00 beta=90.00 gamma=90.00
With the nearest neighbours (Å) after each atom.
Fractional coordinates of all 5 atoms:
Ta: 0.0000 0.0000 0.0000  4 As 2.42, 2 Pt 2.47
As: 0.0000 0.5000 0.0000  2 Ta 2.42
As: 0.5000 0.0000 0.0000  2 Ta 2.42
P: 0.5000 0.5000 0.5000  4 Pt 3.42, 8 As 3.45
Pt: 0.0000 0.0000 0.5000  2 Ta 2.47

Computed properties:
SG: P4/mmm
Density of states at the Fermi level (states/eV per cell): 4.378
Size of the total moment (μB/cell): 0.00
ΔH_f (0 K) (eV/atom): 1.0408


What is the formula in the first record?
ZnCrRu2